Entry from the Alexandria database: an optimized crystal structure of Pr5Er3Sb8 (PBE).

Calculated values
D(E_F)   0.137 states/eV per atom
Size of the total moment   0.000 μB/f.u.
E_form (uncorrected)   -1.15 eV/atom
Energy   -5.556 eV per atom
Calculated volume   31.86 A^3/atom
Space-group type   R-3m, No. 166

a = 8.9628 Å, b = 8.9628 Å, c = 8.9628 Å
α = 60.06°, β = 60.06°, γ = 60.06°
Closest atoms and distances in Å follow each position.
Positions (direct):
Pr: 0.0000 0.0000 0.0000  6 Sb 3.17
Pr: 0.0000 0.5000 0.5000  6 Sb 3.23
Pr: 0.5000 0.0000 0.5000  6 Sb 3.23
Pr: 0.5000 0.5000 0.0000  6 Sb 3.23
Pr: 0.5000 0.5000 0.5000  6 Sb 3.17
Er: 0.0000 0.0000 0.5000  6 Sb 3.11-3.12
Er: 0.0000 0.5000 0.0000  6 Sb 3.11-3.12
Er: 0.5000 0.0000 0.0000  6 Sb 3.11-3.12
Sb: 0.2411 0.7500 0.7500  2 Er 3.11, 4 Pr 3.17-3.23
Sb: 0.2456 0.2456 0.2456  3 Er 3.12, 3 Pr 3.23
Sb: 0.2500 0.2500 0.7589  2 Er 3.11, 4 Pr 3.17-3.23
Sb: 0.2500 0.7589 0.2500  2 Er 3.11, 4 Pr 3.17-3.23
Sb: 0.7500 0.2411 0.7500  2 Er 3.11, 4 Pr 3.17-3.23
Sb: 0.7500 0.7500 0.2411  2 Er 3.11, 4 Pr 3.17-3.23
Sb: 0.7544 0.7544 0.7544  3 Er 3.12, 3 Pr 3.23
Sb: 0.7589 0.2500 0.2500  2 Er 3.11, 4 Pr 3.17-3.23


Entry from the Alexandria database: an optimized crystal structure of PrErSb (PBE).

Calculated values
D(E_F)   1.114 states/eV per atom
Size of the total moment   0.002 μB/f.u.
E_form (uncorrected)   -0.46 eV/atom
Energy   -4.951 eV per atom
Calculated volume   31.14 A^3/atom
Space-group type   P3m1, No. 156

a = 5.1015 Å, b = 5.1015 Å, c = 4.1450 Å
α = 90.00°, β = 90.00°, γ = 120.00°
Closest atoms and distances in Å follow each position.
Positions (direct):
Pr: 0.0000 0.0000 0.0000  3 Sb 3.34, 6 Er 3.55-3.65
Er: 0.3333 0.6667 0.4802  3 Sb 3.00
Sb: 0.6667 0.3333 0.6200  3 Er 3.00, 3 Pr 3.34


Entry from the Alexandria database: an optimized crystal structure of PrEr3Sb4 (PBE).

Calculated values
D(E_F)   0.137 states/eV per atom
Size of the total moment   0.000 μB/f.u.
E_form (uncorrected)   -1.11 eV/atom
Energy   -5.478 eV per atom
Calculated volume   30.25 A^3/atom
Space-group type   Cmmm, No. 65

a = 7.6303 Å, b = 7.6303 Å, c = 4.4096 Å
α = 90.00°, β = 90.00°, γ = 109.49°
Closest atoms and distances in Å follow each position.
Positions (direct):
Pr: 0.0000 0.0000 0.0000  6 Sb 3.17
Er: 0.0000 0.5000 0.5000  6 Sb 3.12
Er: 0.5000 0.0000 0.5000  6 Sb 3.12
Er: 0.5000 0.5000 0.0000  6 Sb 3.06
Sb: 0.2544 0.7456 0.0000  5 Er 3.06-3.12, 1 Pr 3.17
Sb: 0.2589 0.2589 0.5000  4 Er 3.06-3.12, 2 Pr 3.17
Sb: 0.7411 0.7411 0.5000  4 Er 3.06-3.12, 2 Pr 3.17
Sb: 0.7456 0.2544 0.0000  5 Er 3.06-3.12, 1 Pr 3.17


Entry from the Alexandria database: an optimized crystal structure of PrErSb (PBE).

Calculated values
D(E_F)   0.874 states/eV per atom
Size of the total moment   0.807 μB/f.u.
E_form (uncorrected)   -0.64 eV/atom
Energy   -5.126 eV per atom
Calculated volume   33.62 A^3/atom
Space-group type   C2/m, No. 12

a = 6.2805 Å, b = 6.2805 Å, c = 8.1998 Å
α = 103.16°, β = 103.16°, γ = 40.00°
Closest atoms and distances in Å follow each position.
Positions (direct):
Pr: 0.1097 0.1097 0.3128  4 Sb 3.18-3.47
Pr: 0.8903 0.8903 0.6872  4 Sb 3.18-3.47
Er: 0.3720 0.3720 0.0545  3 Sb 3.07-3.11, 1 Er 3.35
Er: 0.6280 0.6280 0.9455  3 Sb 3.07-3.11, 1 Er 3.35
Sb: 0.1878 0.1878 0.7123  3 Er 3.07-3.11, 3 Pr 3.18-3.26
Sb: 0.8122 0.8122 0.2877  3 Er 3.07-3.11, 3 Pr 3.18-3.26


Entry from the Alexandria database: an optimized crystal structure of PrErSc2Sb4 (PBE).

Calculated values
D(E_F)   0.165 states/eV per atom
Size of the total moment   0.000 μB/f.u.
E_form (uncorrected)   -1.02 eV/atom
Energy   -5.833 eV per atom
Calculated volume   28.38 A^3/atom
Space-group type   P2/m, No. 10

a = 7.4568 Å, b = 4.3215 Å, c = 7.4779 Å
α = 90.00°, β = 109.56°, γ = 90.00°
Closest atoms and distances in Å follow each position.
Positions (direct):
Pr: 0.0000 0.0000 0.0000  6 Sb 3.16
Er: 0.0000 0.5000 0.5000  6 Sb 3.10
Sc: 0.5000 0.0000 0.5000  6 Sb 2.94-2.95
Sc: 0.5000 0.5000 0.0000  6 Sb 3.00
Sb: 0.2670 0.0000 0.7494  3 Sc 2.94-3.00, 2 Er 3.10, 1 Pr 3.16
Sb: 0.2717 0.5000 0.2634  3 Sc 2.95-3.00, 1 Er 3.10, 2 Pr 3.16
Sb: 0.7283 0.5000 0.7366  3 Sc 2.95-3.00, 1 Er 3.10, 2 Pr 3.16
Sb: 0.7330 0.0000 0.2506  3 Sc 2.94-3.00, 2 Er 3.10, 1 Pr 3.16


Entry from the Alexandria database: an optimized crystal structure of Pr2ErScSb4 (PBE).

Calculated values
D(E_F)   0.148 states/eV per atom
Size of the total moment   0.000 μB/f.u.
E_form (uncorrected)   -1.09 eV/atom
Energy   -5.703 eV per atom
Calculated volume   30.39 A^3/atom
Space-group type   P2/m, No. 10

a = 7.6218 Å, b = 4.4223 Å, c = 7.6548 Å
α = 90.00°, β = 109.57°, γ = 90.00°
Closest atoms and distances in Å follow each position.
Positions (direct):
Pr: 0.0000 0.0000 0.0000  6 Sb 3.18
Pr: 0.0000 0.5000 0.5000  6 Sb 3.23
Er: 0.5000 0.0000 0.5000  6 Sb 3.07
Sc: 0.5000 0.5000 0.0000  6 Sb 3.01-3.02
Sb: 0.2675 0.5000 0.2504  1 Sc 3.01, 2 Er 3.07, 3 Pr 3.18-3.23
Sb: 0.2716 0.0000 0.7626  2 Sc 3.02, 1 Er 3.07, 3 Pr 3.18-3.23
Sb: 0.7284 0.0000 0.2374  2 Sc 3.02, 1 Er 3.07, 3 Pr 3.18-3.23
Sb: 0.7325 0.5000 0.7496  1 Sc 3.01, 2 Er 3.07, 3 Pr 3.18-3.23


Entry from the Alexandria database: an optimized crystal structure of PrEr2ScSb4 (PBE).

Calculated values
D(E_F)   0.150 states/eV per atom
Size of the total moment   0.000 μB/f.u.
E_form (uncorrected)   -1.05 eV/atom
Energy   -5.642 eV per atom
Calculated volume   29.47 A^3/atom
Space-group type   Fmm2, No. 42

a = 7.5511 Å, b = 6.1899 Å, c = 7.5514 Å
α = 65.80°, β = 48.39°, γ = 65.81°
Closest atoms and distances in Å follow each position.
Positions (direct):
Pr: 0.0000 0.0000 0.0000  6 Sb 3.09-3.20
Er: 0.2515 0.2515 0.2485  6 Sb 3.08-3.10
Er: 0.7515 0.7515 0.7485  6 Sb 3.08-3.10
Sc: 0.4993 0.4993 0.5007  6 Sb 2.96-3.10
Sb: 0.0007 0.5000 0.9993  2 Er 3.08, 2 Sc 3.09-3.10, 2 Pr 3.09
Sb: 0.2611 0.7417 0.2583  1 Sc 2.96, 4 Er 3.10, 1 Pr 3.20
Sb: 0.5000 0.0007 0.5000  2 Er 3.08, 2 Sc 3.09-3.10, 2 Pr 3.09
Sb: 0.7417 0.2611 0.7389  1 Sc 2.96, 4 Er 3.10, 1 Pr 3.20


Entry from the Alexandria database: an optimized crystal structure of Pr2SmEr3Sb6 (PBE).

Calculated values
D(E_F)   0.161 states/eV per atom
Size of the total moment   0.000 μB/f.u.
E_form (uncorrected)   -1.14 eV/atom
Energy   -5.527 eV per atom
Calculated volume   30.97 A^3/atom
Space-group type   C2/m, No. 12

a = 9.9246 Å, b = 9.9246 Å, c = 8.8756 Å
α = 102.75°, β = 102.75°, γ = 25.88°
Closest atoms and distances in Å follow each position.
Positions (direct):
Pr: 0.1662 0.1662 0.3326  6 Sb 3.19-3.20
Pr: 0.8338 0.8338 0.6674  6 Sb 3.19-3.20
Sm: 0.5000 0.5000 0.0000  6 Sb 3.17
Er: 0.1673 0.1673 0.8336  6 Sb 3.08-3.10
Er: 0.5000 0.5000 0.5000  6 Sb 3.09-3.11
Er: 0.8327 0.8327 0.1664  6 Sb 3.08-3.10
Sb: 0.0034 0.0034 0.7465  3 Er 3.09-3.11, 2 Sm 3.17, 1 Pr 3.19
Sb: 0.3319 0.3319 0.9252  3 Er 3.08-3.10, 1 Sm 3.17, 2 Pr 3.20
Sb: 0.3362 0.3362 0.4094  3 Er 3.09, 3 Pr 3.20
Sb: 0.6638 0.6638 0.5906  3 Er 3.09, 3 Pr 3.20
Sb: 0.6681 0.6681 0.0748  3 Er 3.08-3.10, 1 Sm 3.17, 2 Pr 3.20
Sb: 0.9966 0.9966 0.2535  3 Er 3.09-3.11, 2 Sm 3.17, 1 Pr 3.19


Entry from the Alexandria database: an optimized crystal structure of Pr2SmErSb4 (PBE).

Calculated values
D(E_F)   0.129 states/eV per atom
Size of the total moment   0.000 μB/f.u.
E_form (uncorrected)   -1.16 eV/atom
Energy   -5.574 eV per atom
Calculated volume   31.92 A^3/atom
Space-group type   P2/m, No. 10

a = 7.7658 Å, b = 4.4897 Å, c = 7.7701 Å
α = 90.00°, β = 109.50°, γ = 90.00°
Closest atoms and distances in Å follow each position.
Positions (direct):
Pr: 0.0000 0.0000 0.0000  6 Sb 3.20
Pr: 0.0000 0.5000 0.5000  6 Sb 3.23
Sm: 0.5000 0.0000 0.5000  6 Sb 3.15
Er: 0.5000 0.5000 0.0000  6 Sb 3.11-3.12
Sb: 0.2581 0.5000 0.2491  1 Er 3.11, 2 Sm 3.15, 3 Pr 3.20-3.23
Sb: 0.2606 0.0000 0.7570  2 Er 3.12, 1 Sm 3.15, 3 Pr 3.20-3.23
Sb: 0.7394 0.0000 0.2430  2 Er 3.12, 1 Sm 3.15, 3 Pr 3.20-3.23
Sb: 0.7419 0.5000 0.7509  1 Er 3.11, 2 Sm 3.15, 3 Pr 3.20-3.23


Entry from the Alexandria database: an optimized crystal structure of Tb2PrErSb4 (PBE).

Calculated values
D(E_F)   0.151 states/eV per atom
Size of the total moment   0.000 μB/f.u.
E_form (uncorrected)   -1.14 eV/atom
Energy   -5.523 eV per atom
Calculated volume   30.74 A^3/atom
Space-group type   I4/mmm, No. 139

a = 7.6724 Å, b = 7.6724 Å, c = 7.6724 Å
α = 131.79°, β = 131.79°, γ = 70.55°
Closest atoms and distances in Å follow each position.
Positions (direct):
Tb: 0.2500 0.7500 0.5000  6 Sb 3.13
Tb: 0.7500 0.2500 0.5000  6 Sb 3.13
Pr: 0.0000 0.0000 0.0000  6 Sb 3.13-3.19
Er: 0.5000 0.5000 0.0000  6 Sb 3.07-3.13
Sb: 0.0000 0.5000 0.5000  2 Tb 3.13, 2 Pr 3.13, 2 Er 3.13
Sb: 0.2549 0.2549 0.0000  1 Er 3.07, 4 Tb 3.13, 1 Pr 3.19
Sb: 0.5000 0.0000 0.5000  2 Tb 3.13, 2 Pr 3.13, 2 Er 3.13
Sb: 0.7451 0.7451 0.0000  1 Er 3.07, 4 Tb 3.13, 1 Pr 3.19